Compound: Dy4InBi
Source: Alexandria via LeMat-Bulk
Functional: GGA-PBE
Structure: relaxed

Lattice parameters (Å, degrees): 11.094 11.094 6.430 90.00 90.00 150.45
Element x y z (fractional)
Dy: 0.064 0.936 0.750
Dy: 0.209 0.791 0.000
Dy: 0.209 0.791 0.500
Dy: 0.367 0.633 0.750
Dy: 0.633 0.367 0.250
Dy: 0.791 0.209 0.000
Dy: 0.791 0.209 0.500
Dy: 0.936 0.064 0.250
In: 0.077 0.923 0.250
In: 0.923 0.077 0.750
Bi: 0.349 0.651 0.250
Bi: 0.651 0.349 0.750

Properties
E_form   -0.245 eV/atom
E_tot   -4.416 eV/atom
Calculated volume   390.3 Å³/cell

***

Compound: Dy4InBi2
Source: Alexandria via LeMat-Bulk
Functional: GGA-PBE
Structure: relaxed

Lattice parameters (Å, degrees): 6.064 6.671 10.581 90.00 103.00 90.00
Element x y z (fractional)
Dy: 0.015 0.250 0.343
Dy: 0.140 0.250 0.955
Dy: 0.458 0.508 0.241
Dy: 0.458 0.992 0.241
Dy: 0.542 0.008 0.759
Dy: 0.542 0.492 0.759
Dy: 0.860 0.750 0.045
Dy: 0.985 0.750 0.657
In: 0.064 0.250 0.668
In: 0.936 0.750 0.332
Bi: 0.307 0.750 0.957
Bi: 0.413 0.750 0.501
Bi: 0.587 0.250 0.499
Bi: 0.693 0.250 0.043

Properties
E_form   -0.432 eV/atom
E_tot   -4.562 eV/atom
Calculated volume   417.0 Å³/cell

***

Compound: DyInBi2
Source: Alexandria via LeMat-Bulk
Functional: GGA-PBE
Structure: relaxed

Lattice parameters (Å, degrees): 4.927 4.927 25.614 90.00 90.00 120.00
Element x y z (fractional)
Dy: 0.000 0.000 0.000
Dy: 0.333 0.667 0.667
Dy: 0.667 0.333 0.333
In: 0.000 0.000 0.500
In: 0.333 0.667 0.167
In: 0.667 0.333 0.833
Bi: 0.000 0.000 0.390
Bi: 0.000 0.000 0.610
Bi: 0.333 0.667 0.056
Bi: 0.333 0.667 0.277
Bi: 0.667 0.333 0.723
Bi: 0.667 0.333 0.944

Properties
E_form   0.008 eV/atom
E_tot   -3.767 eV/atom
Calculated volume   538.5 Å³/cell
Offset from the most stable computed form   394 meV/atom

***

Compound: Dy5In2Bi
Source: Alexandria via LeMat-Bulk
Functional: GGA-PBE
Structure: relaxed

Lattice parameters (Å, degrees): 8.812 8.812 8.812 122.48 122.48 85.76
Element x y z (fractional)
Dy: 0.000 0.000 0.000
Dy: 0.003 0.503 0.805
Dy: 0.198 0.003 0.500
Dy: 0.302 0.802 0.805
Dy: 0.497 0.302 0.500
Dy: 0.500 0.500 0.000
Dy: 0.503 0.698 0.500
Dy: 0.698 0.198 0.195
Dy: 0.802 0.997 0.500
Dy: 0.997 0.497 0.195
In: 0.147 0.353 0.500
In: 0.353 0.853 0.206
In: 0.647 0.147 0.794
In: 0.853 0.647 0.500
Bi: 0.250 0.250 0.000
Bi: 0.750 0.750 0.000

Properties
E_form   -0.468 eV/atom
E_tot   -4.514 eV/atom
Calculated volume   464.3 Å³/cell